# PBEsol GaAs2F, optimized geometry
data_GaAs2F
_space_group_name_H-M_alt 'P 1'
_space_group_IT_number 1
_space_group_name_Hall 'P 1'
_cell_length_a 4.409
_cell_length_b 4.409
_cell_length_c 4.409
_cell_angle_alpha 60.00
_cell_angle_beta 60.00
_cell_angle_gamma 60.00
loop_
_atom_site_label
_atom_site_type_symbol
_atom_site_fract_x
_atom_site_fract_y
_atom_site_fract_z
As1 As 0.250 0.250 0.250
As2 As 0.750 0.750 0.750
Ga1 Ga 0.500 0.500 0.500
F1 F 0.000 0.000 0.000
# **Energy above the most stable polymorph in this dataset**: 0.29 eV per formula unit
# **Space group**: Fm-3m, No. 225
# **Raw formation energy**: -371 meV/atom
# **Density of states at the Fermi level**: 1.2 states/eV/f.u.
# **Electronic total energy**: -16.96 eV for the cell shown
# **Total moment**: 0.00 μB/f.u.

---

# PBEsol Sr5Al, optimized geometry
data_Sr5Al
_space_group_name_H-M_alt 'P 1'
_space_group_IT_number 1
_space_group_name_Hall 'P 1'
_cell_length_a 4.182
_cell_length_b 7.483
_cell_length_c 10.075
_cell_angle_alpha 111.60
_cell_angle_beta 90.00
_cell_angle_gamma 106.23
loop_
_atom_site_label
_atom_site_type_symbol
_atom_site_fract_x
_atom_site_fract_y
_atom_site_fract_z
Sr1 Sr 0.836 0.672 0.223
Sr2 Sr 0.164 0.328 0.777
Sr3 Sr 0.131 0.261 0.373
Sr4 Sr 0.500 0.000 0.000
Sr5 Sr 0.869 0.739 0.627
Al1 Al 0.500 0.000 0.500
# **Energy above the most stable polymorph in this dataset**: 0.11 eV per formula unit
# **Formation energy**: -3 meV/atom
# **Space group**: C2/m, No. 12
# **Density of states at the Fermi level**: 6.6 states/eV/f.u.
# **Electronic total energy**: -13.31 eV for the cell shown
# **Total moment**: 0.00 μB/f.u.

---

# PBEsol LaIn2Au, optimized geometry
data_LaIn2Au
_space_group_name_H-M_alt 'P 1'
_space_group_IT_number 1
_space_group_name_Hall 'P 1'
_cell_length_a 3.765
_cell_length_b 4.405
_cell_length_c 6.397
_cell_angle_alpha 90.00
_cell_angle_beta 107.12
_cell_angle_gamma 90.00
loop_
_atom_site_label
_atom_site_type_symbol
_atom_site_fract_x
_atom_site_fract_y
_atom_site_fract_z
Au1 Au 0.318 0.500 0.637
In1 In 0.172 0.000 0.344
In2 In 0.581 0.500 0.162
La1 La 0.906 0.000 0.812
# **Formation energy**: -455 meV/atom
# **Space group**: Amm2, No. 38
# **Density of states at the Fermi level**: 1.8 states/eV/f.u.
# **Electronic total energy**: -17.06 eV for the cell shown
# **Total moment**: 0.00 μB/f.u.

---

# PBEsol Mn2SnO, optimized geometry
data_Mn2SnO
_space_group_name_H-M_alt 'P 1'
_space_group_IT_number 1
_space_group_name_Hall 'P 1'
_cell_length_a 4.285
_cell_length_b 4.285
_cell_length_c 4.285
_cell_angle_alpha 60.00
_cell_angle_beta 60.00
_cell_angle_gamma 60.00
loop_
_atom_site_label
_atom_site_type_symbol
_atom_site_fract_x
_atom_site_fract_y
_atom_site_fract_z
Mn1 Mn 0.250 0.250 0.250
Mn2 Mn 0.750 0.750 0.750
Sn1 Sn 0.500 0.500 0.500
O1 O 0.000 0.000 0.000
# **Space group**: Fm-3m, No. 225
# **Raw formation energy**: 326 meV/atom
# **Density of states at the Fermi level**: 3.8 states/eV/f.u.
# **Electronic total energy**: -27.73 eV for the cell shown
# **Total moment**: 6.31 μB/f.u.

---

# PBEsol Ta2CoW, optimized geometry
data_Ta2CoW
_space_group_name_H-M_alt 'P 1'
_space_group_IT_number 1
_space_group_name_Hall 'P 1'
_cell_length_a 2.731
_cell_length_b 4.339
_cell_length_c 5.246
_cell_angle_alpha 90.00
_cell_angle_beta 99.30
_cell_angle_gamma 90.00
loop_
_atom_site_label
_atom_site_type_symbol
_atom_site_fract_x
_atom_site_fract_y
_atom_site_fract_z
Co1 Co 0.000 0.500 0.500
Ta1 Ta 0.752 0.000 0.747
Ta2 Ta 0.248 0.000 0.253
W1 W 0.500 0.500 0.000
# **Energy above the most stable polymorph in this dataset**: 0.50 eV per formula unit
# **Formation energy**: 91 meV/atom
# **Space group**: P2/m, No. 10
# **Density of states at the Fermi level**: 4.0 states/eV/f.u.
# **Electronic total energy**: -46.28 eV for the cell shown
# **Total moment**: 0.76 μB/f.u.

---

# PBEsol TaMnCu2, optimized geometry
data_TaMnCu2
_space_group_name_H-M_alt 'P 1'
_space_group_IT_number 1
_space_group_name_Hall 'P 1'
_cell_length_a 3.697
_cell_length_b 3.697
_cell_length_c 4.588
_cell_angle_alpha 113.75
_cell_angle_beta 113.75
_cell_angle_gamma 90.00
loop_
_atom_site_label
_atom_site_type_symbol
_atom_site_fract_x
_atom_site_fract_y
_atom_site_fract_z
Cu1 Cu 0.000 0.000 0.000
Cu2 Cu 0.250 0.750 0.500
Mn1 Mn 0.500 0.500 0.000
Ta1 Ta 0.750 0.250 0.500
# **Energy above the most stable polymorph in this dataset**: 0.00 eV per formula unit
# **Formation energy**: 177 meV/atom
# **Space group**: I-4m2, No. 119
# **Density of states at the Fermi level**: 4.3 states/eV/f.u.
# **Electronic total energy**: -30.27 eV for the cell shown
# **Total moment**: 1.48 μB/f.u.

---

# PBEsol KSr3Ir, optimized geometry
data_KSr3Ir
_space_group_name_H-M_alt 'P 1'
_space_group_IT_number 1
_space_group_name_Hall 'P 1'
_cell_length_a 5.945
_cell_length_b 5.945
_cell_length_c 5.945
_cell_angle_alpha 90.00
_cell_angle_beta 90.00
_cell_angle_gamma 90.00
loop_
_atom_site_label
_atom_site_type_symbol
_atom_site_fract_x
_atom_site_fract_y
_atom_site_fract_z
Sr1 Sr 0.000 0.500 0.000
Sr2 Sr 0.000 0.000 0.500
Sr3 Sr 0.500 0.000 0.000
K1 K 0.500 0.500 0.500
Ir1 Ir 0.000 0.000 0.000
# **Energy above the most stable polymorph in this dataset**: 0.12 eV per formula unit
# **Formation energy**: -37 meV/atom
# **Space group**: Pm-3m, No. 221
# **Density of states at the Fermi level**: 3.4 states/eV/f.u.
# **Electronic total energy**: -16.66 eV for the cell shown
# **Total moment**: 0.00 μB/f.u.

---

# PBEsol HgBCl2, optimized geometry
data_HgBCl2
_space_group_name_H-M_alt 'P 1'
_space_group_IT_number 1
_space_group_name_Hall 'P 1'
_cell_length_a 4.789
_cell_length_b 4.789
_cell_length_c 4.789
_cell_angle_alpha 60.00
_cell_angle_beta 60.00
_cell_angle_gamma 60.00
loop_
_atom_site_label
_atom_site_type_symbol
_atom_site_fract_x
_atom_site_fract_y
_atom_site_fract_z
B1 B 0.000 0.000 0.000
Hg1 Hg 0.500 0.500 0.500
Cl1 Cl 0.250 0.250 0.250
Cl2 Cl 0.750 0.750 0.750
# **Space group**: Fm-3m, No. 225
# **Raw formation energy**: 864 meV/atom
# **Density of states at the Fermi level**: 2.4 states/eV/f.u.
# **Electronic total energy**: -8.14 eV for the cell shown
# **Total moment**: 0.00 μB/f.u.

---

# PBEsol ReOsSe3, optimized geometry
data_ReOsSe3
_space_group_name_H-M_alt 'P 1'
_space_group_IT_number 1
_space_group_name_Hall 'P 1'
_cell_length_a 4.779
_cell_length_b 4.779
_cell_length_c 4.779
_cell_angle_alpha 90.00
_cell_angle_beta 90.00
_cell_angle_gamma 90.00
loop_
_atom_site_label
_atom_site_type_symbol
_atom_site_fract_x
_atom_site_fract_y
_atom_site_fract_z
Re1 Re 0.500 0.500 0.500
Os1 Os 0.000 0.000 0.000
Se1 Se 0.000 0.500 0.000
Se2 Se 0.000 0.000 0.500
Se3 Se 0.500 0.000 0.000
# **Space group**: Pm-3m, No. 221
# **Raw formation energy**: 1625 meV/atom
# **Density of states at the Fermi level**: 5.1 states/eV/f.u.
# **Electronic total energy**: -28.97 eV for the cell shown
# **Total moment**: 2.59 μB/f.u.

---

# PBEsol Zn2Cr3O8, optimized geometry
data_Zn2Cr3O8
_space_group_name_H-M_alt 'P 1'
_space_group_IT_number 1
_space_group_name_Hall 'P 1'
_cell_length_a 5.759
_cell_length_b 5.759
_cell_length_c 9.271
_cell_angle_alpha 90.00
_cell_angle_beta 90.00
_cell_angle_gamma 120.00
loop_
_atom_site_label
_atom_site_type_symbol
_atom_site_fract_x
_atom_site_fract_y
_atom_site_fract_z
Zn1 Zn 0.333 0.667 0.975
Zn2 Zn 0.667 0.333 0.475
Zn3 Zn 0.333 0.667 0.578
Zn4 Zn 0.667 0.333 0.078
Cr1 Cr 0.322 0.161 0.758
Cr2 Cr 0.161 0.322 0.258
Cr3 Cr 0.839 0.161 0.758
Cr4 Cr 0.161 0.839 0.258
Cr5 Cr 0.678 0.839 0.258
Cr6 Cr 0.839 0.678 0.758
O1 O 0.164 0.328 0.851
O2 O 0.328 0.164 0.351
O3 O 0.836 0.164 0.351
O4 O 0.164 0.836 0.851
O5 O 0.672 0.836 0.851
O6 O 0.836 0.672 0.351
O7 O 0.481 0.961 0.138
O8 O 0.961 0.481 0.638
O9 O 0.519 0.481 0.638
O10 O 0.481 0.519 0.138
O11 O 0.000 0.000 0.646
O12 O 0.000 0.000 0.146
O13 O 0.667 0.333 0.865
O14 O 0.039 0.519 0.138
O15 O 0.519 0.039 0.638
O16 O 0.333 0.667 0.365
# **Space group**: P6_3mc, No. 186
# **Raw formation energy**: -1720 meV/atom
# **Density of states at the Fermi level**: 3.5 states/eV/f.u.
# **Electronic total energy**: -196.48 eV for the cell shown
# **Total moment**: 6.00 μB/f.u.

---

# PBEsol MnTeS2Cl, optimized geometry
data_MnTeS2Cl
_space_group_name_H-M_alt 'P 1'
_space_group_IT_number 1
_space_group_name_Hall 'P 1'
_cell_length_a 4.657
_cell_length_b 4.657
_cell_length_c 4.424
_cell_angle_alpha 90.00
_cell_angle_beta 90.00
_cell_angle_gamma 90.00
loop_
_atom_site_label
_atom_site_type_symbol
_atom_site_fract_x
_atom_site_fract_y
_atom_site_fract_z
S1 S 0.000 0.500 0.000
S2 S 0.500 0.000 0.000
Te1 Te 0.500 0.500 0.500
Mn1 Mn 0.000 0.000 0.000
Cl1 Cl 0.000 0.000 0.500
# **Space group**: P4/mmm, No. 123
# **Raw formation energy**: -27 meV/atom
# **Density of states at the Fermi level**: 3.4 states/eV/f.u.
# **Electronic total energy**: -24.20 eV for the cell shown
# **Total moment**: 3.40 μB/f.u.

---

# PBEsol Ba2Zn2TeP2O11, optimized geometry
data_Ba2Zn2TeP2O11
_space_group_name_H-M_alt 'P 1'
_space_group_IT_number 1
_space_group_name_Hall 'P 1'
_cell_length_a 7.001
_cell_length_b 9.773
_cell_length_c 16.108
_cell_angle_alpha 90.00
_cell_angle_beta 90.00
_cell_angle_gamma 105.78
loop_
_atom_site_label
_atom_site_type_symbol
_atom_site_fract_x
_atom_site_fract_y
_atom_site_fract_z
Ba1 Ba 0.258 0.536 0.594
Ba2 Ba 0.742 0.964 0.094
Ba3 Ba 0.742 0.464 0.406
Ba4 Ba 0.258 0.036 0.906
Ba5 Ba 0.722 0.387 0.739
Ba6 Ba 0.278 0.113 0.239
Ba7 Ba 0.278 0.613 0.261
Ba8 Ba 0.722 0.887 0.761
Zn1 Zn 0.437 0.199 0.544
Zn2 Zn 0.563 0.301 0.044
Zn3 Zn 0.563 0.801 0.456
Zn4 Zn 0.437 0.699 0.956
Zn5 Zn 0.180 0.418 0.857
Zn6 Zn 0.820 0.082 0.357
Zn7 Zn 0.820 0.582 0.143
Zn8 Zn 0.180 0.918 0.643
Te1 Te 0.163 0.889 0.442
Te2 Te 0.837 0.611 0.942
Te3 Te 0.837 0.111 0.558
Te4 Te 0.163 0.389 0.058
P1 P 0.202 0.226 0.713
P2 P 0.798 0.274 0.213
P3 P 0.798 0.774 0.287
P4 P 0.202 0.726 0.787
P5 P 0.230 0.335 0.399
P6 P 0.770 0.165 0.899
P7 P 0.770 0.665 0.601
P8 P 0.230 0.835 0.101
O1 O 0.283 0.282 0.801
O2 O 0.717 0.218 0.301
O3 O 0.717 0.718 0.199
O4 O 0.283 0.782 0.699
O5 O 0.382 0.275 0.653
O6 O 0.618 0.225 0.153
O7 O 0.618 0.725 0.347
O8 O 0.382 0.775 0.847
O9 O 0.377 0.373 0.326
O10 O 0.623 0.127 0.826
O11 O 0.623 0.627 0.674
O12 O 0.377 0.873 0.174
O13 O 0.353 0.346 0.481
O14 O 0.647 0.154 0.981
O15 O 0.647 0.654 0.519
O16 O 0.353 0.846 0.019
O17 O 0.106 0.443 0.405
O18 O 0.894 0.057 0.905
O19 O 0.894 0.557 0.595
O20 O 0.106 0.943 0.095
O21 O 0.035 0.289 0.684
O22 O 0.965 0.211 0.184
O23 O 0.965 0.711 0.316
O24 O 0.035 0.789 0.816
O25 O 0.100 0.179 0.389
O26 O 0.900 0.321 0.889
O27 O 0.900 0.821 0.611
O28 O 0.100 0.679 0.111
O29 O 0.129 0.061 0.719
O30 O 0.871 0.439 0.219
O31 O 0.871 0.939 0.281
O32 O 0.129 0.561 0.781
O33 O 0.258 0.013 0.537
O34 O 0.742 0.487 0.037
O35 O 0.742 0.987 0.463
O36 O 0.258 0.513 0.963
O37 O 0.281 0.747 0.481
O38 O 0.719 0.753 0.981
O39 O 0.719 0.253 0.519
O40 O 0.281 0.247 0.019
O41 O 0.359 0.965 0.367
O42 O 0.641 0.535 0.867
O43 O 0.641 0.035 0.633
O44 O 0.359 0.465 0.133
# **Space group**: P2_1/c, No. 14
# **Raw formation energy**: -2220 meV/atom
# **Density of states at the Fermi level**: 0.0 states/eV/f.u.
# **Electronic total energy**: -481.10 eV for the cell shown
# **Total moment**: 0.00 μB/f.u.

---

> Number 8 is which compound?

HgBCl2

---

> density of states at the Fermi level of number 1 (GaAs2F)?

1.2 states/eV/f.u.

---

What did the first record say?
# PBEsol GaAs2F, optimized geometry
data_GaAs2F
_space_group_name_H-M_alt 'P 1'
_space_group_IT_number 1
_space_group_name_Hall 'P 1'
_cell_length_a 4.409
_cell_length_b 4.409
_cell_length_c 4.409
_cell_angle_alpha 60.00
_cell_angle_beta 60.00
_cell_angle_gamma 60.00
loop_
_atom_site_label
_atom_site_type_symbol
_atom_site_fract_x
_atom_site_fract_y
_atom_site_fract_z
As1 As 0.250 0.250 0.250
As2 As 0.750 0.750 0.750
Ga1 Ga 0.500 0.500 0.500
F1 F 0.000 0.000 0.000
# **Energy above the most stable polymorph in this dataset**: 0.29 eV per formula unit
# **Space group**: Fm-3m, No. 225
# **Raw formation energy**: -371 meV/atom
# **Density of states at the Fermi level**: 1.2 states/eV/f.u.
# **Electronic total energy**: -16.96 eV for the cell shown
# **Total moment**: 0.00 μB/f.u.